The following is a DFT calculation (GGA-PBE) of a geometry-optimized PaGaNiIr structure.

Values from the calculation:
energy of formation = -488 meV per atom
total DFT energy (no corrections) = -7.280 eV/atom
total magnetic moment = 0.00 μB/f.u.
volume = 70 Å³/cell

Structure (POSCAR):
```
PaGaNiIr
1.0
0.000 3.267 3.267
3.267 0.000 3.267
3.267 3.267 0.000
Pa Ga Ni Ir
1 1 1 1
direct
0.000 0.000 0.000
0.500 0.500 0.500
0.750 0.750 0.750
0.250 0.250 0.250
```